No. 1
A geometry-optimized Pm2SmGa3Pt4 structure, computed with GGA-PBE.

Unit cell a=4.2829 b=4.2829 c=11.4349 alpha=90.00 beta=90.00 gamma=90.00
Closest atoms and distances in Å follow each position.
Space group P-4m2 (No. 115)
Symmetry-distinct sites (fractional):
Pm: 0.0000 0.5000 0.2234  4 Ga 3.25, 8 Pt 3.30-3.33
Sm: 0.0000 0.0000 0.5000  4 Pt 2.83, 4 Ga 3.03
Ga: 0.0000 0.5000 0.8787  5 Pt 2.48-2.55
Ga: 0.5000 0.5000 0.5000  4 Pt 2.83, 4 Sm 3.03
Pt: 0.0000 0.0000 0.0000  4 Ga 2.55
Pt: 0.0000 0.5000 0.6616  1 Ga 2.48
Pt: 0.5000 0.5000 0.0000  4 Ga 2.55

Computed properties:
E_form in kJ/mol of formula units: -911.3



No. 2
A geometry-optimized BaLi2Nd2In2 structure, computed with GGA-PBE.

Unit cell a=5.0910 b=5.0910 c=29.4902 alpha=90.00 beta=90.00 gamma=120.00
Closest atoms and distances in Å follow each position.
Space group R-3m (No. 166, hexagonal axes)
Symmetry-distinct sites (fractional):
Ba: 0.0000 0.0000 0.0000  6 Li 3.85, 6 In 3.86, 2 Nd 3.88
Li: 0.0000 0.0000 0.4176  3 In 2.94, 3 Nd 3.25
Nd: 0.0000 0.0000 0.1315  4 In 3.25-3.46, 3 Li 3.25, 3 Nd 3.60
In: 0.0000 0.0000 0.2488  3 Li 2.94, 3 Nd 3.25

Computed properties:
E_form in kJ/mol of formula units: -164.3



No. 3
A geometry-optimized Na2CdGe structure, computed with GGA-PBE.

Unit cell a=3.0855 b=3.0855 c=9.7964 alpha=90.00 beta=90.00 gamma=90.00
Closest atoms and distances in Å follow each position.
Space group P4/mmm (No. 123)
Symmetry-distinct sites (fractional):
Na: 0.0000 0.0000 0.2318  4 Na 3.09, 4 Ge 3.15, 4 Cd 3.42
Cd: 0.5000 0.5000 0.5000  4 Cd 3.09, 8 Na 3.42
Ge: 0.5000 0.5000 0.0000  4 Ge 3.09, 8 Na 3.15

Computed properties:
E_form in kJ/mol of formula units: -5.6